Record 1
DFT (SCAN) results for a crystal of ScIr2Cl relaxed with PBEsol.

Unit cell a=5.4481 b=5.4481 c=2.8728 alpha=104.68 beta=104.68 gamma=121.50
Atoms (fractional coordinates):
Sc1 0.0000 0.0000 0.0000
Ir1 0.0000 0.5000 0.5000
Ir2 0.5000 0.0000 0.5000
Cl1 0.5000 0.5000 0.0000

## Properties
Total moment in μB/cell: 0.0
Energy relative to the elements, uncorrected in eV/atom: -0.1448
Space-group type: C2/m
N(E_F) in states/eV/f.u.: 3.30

***

Record 2
DFT (SCAN) results for a crystal of Sc2IrCl relaxed with PBEsol.

Unit cell a=3.6744 b=3.6744 c=7.1920 alpha=104.74 beta=104.74 gamma=60.05
Atoms (fractional coordinates):
Sc1 0.2360 0.2360 0.2098
Sc2 0.7640 0.7640 0.7902
Ir1 0.5000 0.5000 0.0000
Cl1 0.0000 0.0000 0.5000

## Properties
Total moment in μB/cell: 0.0
Energy relative to the elements, uncorrected in eV/atom: -1.2613
Space-group type: C2/m
N(E_F) in states/eV/f.u.: 1.73

***

Record 3
DFT (SCAN) results for a crystal of ScIr2Cl relaxed with PBEsol.

Unit cell a=2.9313 b=3.7224 c=7.0855 alpha=90.00 beta=90.00 gamma=90.00
Atoms (fractional coordinates):
Sc1 0.0000 0.0000 0.0000
Ir1 0.0000 0.0000 0.6334
Ir2 0.5000 0.5000 0.7485
Cl1 0.5000 0.5000 0.2031

## Properties
Total moment in μB/cell: 0.0
Energy relative to the elements, uncorrected in eV/atom: -0.4833
Space-group type: Pmm2
N(E_F) in states/eV/f.u.: 2.47

***

Record 4
DFT (SCAN) results for a crystal of ScIr2Cl relaxed with PBEsol.

Unit cell a=2.8554 b=4.9276 c=4.4701 alpha=90.00 beta=90.95 gamma=90.00
Atoms (fractional coordinates):
Sc1 0.0000 0.0000 0.0000
Ir1 0.2515 0.5000 0.7491
Ir2 0.7485 0.5000 0.2509
Cl1 0.5000 0.0000 0.5000

## Properties
Total moment in μB/cell: 0.0
Energy relative to the elements, uncorrected in eV/atom: -0.2399
Space-group type: P2/m
N(E_F) in states/eV/f.u.: 4.09

***

Record 5
DFT (SCAN) results for a crystal of Sc2IrCl relaxed with PBEsol.

Unit cell a=4.5374 b=5.2646 c=5.2646 alpha=33.91 beta=90.00 gamma=90.00
Atoms (fractional coordinates):
Sc1 0.0000 0.0000 0.0000
Sc2 0.5000 0.2518 0.2518
Ir1 0.0000 0.7379 0.7379
Cl1 0.5000 0.5073 0.5073

## Properties
Total moment in μB/cell: 0.0
Energy relative to the elements, uncorrected in eV/atom: -1.0476
Space-group type: Amm2
N(E_F) in states/eV/f.u.: 3.06

***

Record 6
DFT (SCAN) results for a crystal of IrSeCl2 relaxed with PBEsol.

Unit cell a=6.5297 b=6.5297 c=6.5297 alpha=153.11 beta=137.29 gamma=51.19
Atoms (fractional coordinates):
Ir1 0.0000 0.0000 0.0000
Se1 0.5000 0.5000 0.0000
Cl1 0.1542 0.6542 0.5000
Cl2 0.8458 0.3458 0.5000

## Properties
Total moment in μB/cell: 0.0
Energy relative to the elements, uncorrected in eV/atom: 0.1719
Space-group type: Immm
N(E_F) in states/eV/f.u.: 1.39

***

Record 7
DFT (SCAN) results for a crystal of IrSeCl relaxed with PBEsol.

Unit cell a=3.5714 b=3.5714 c=5.8142 alpha=90.00 beta=90.00 gamma=120.00
Atoms (fractional coordinates):
Ir1 0.0000 0.0000 0.0000
Se1 0.6667 0.3333 0.7864
Cl1 0.3333 0.6667 0.2457

## Properties
Total moment in μB/cell: 0.0
Energy relative to the elements, uncorrected in eV/atom: -0.4700
Space-group type: P3m1
N(E_F) in states/eV/f.u.: 0.00

***

Record 8
DFT (SCAN) results for a crystal of IrSeCl2 relaxed with PBEsol.

Unit cell a=7.2768 b=7.2768 c=7.2768 alpha=95.73 beta=95.73 gamma=143.15
Atoms (fractional coordinates):
Ir1 0.3750 0.6250 0.7500
Ir2 0.6250 0.3750 0.2500
Se1 0.1250 0.8750 0.2500
Se2 0.8750 0.1250 0.7500
Cl1 0.0000 0.5000 0.5000
Cl2 0.5000 0.0000 0.0000
Cl3 0.5000 0.5000 0.0000
Cl4 0.5000 0.5000 0.5000

## Properties
Total moment in μB/cell: 0.0
Energy relative to the elements, uncorrected in eV/atom: 0.2900
Space-group type: I4_1/amd
N(E_F) in states/eV/f.u.: 1.88

***

Record 9
DFT (SCAN) results for a crystal of IrSeCl2 relaxed with PBEsol.

Unit cell a=6.6442 b=6.6442 c=6.6442 alpha=149.24 beta=134.81 gamma=55.66
Atoms (fractional coordinates):
Ir1 0.0000 0.0000 0.0000
Se1 0.1306 0.6306 0.5000
Cl1 0.5919 0.5919 0.0000
Cl2 0.8620 0.3620 0.5000

## Properties
Total moment in μB/cell: 1.0
Energy relative to the elements, uncorrected in eV/atom: -0.0080
Space-group type: Imm2

***

Record 10
DFT (SCAN) results for a crystal of IrSeCl2 relaxed with PBEsol.

Unit cell a=2.9055 b=3.1797 c=8.4770 alpha=90.00 beta=90.00 gamma=90.00
Atoms (fractional coordinates):
Ir1 0.0000 0.0000 0.0000
Se1 0.5000 0.5000 0.8413
Cl1 0.0000 0.0000 0.5642
Cl2 0.5000 0.5000 0.2030

## Properties
Total moment in μB/cell: 0.0
Energy relative to the elements, uncorrected in eV/atom: 0.2779
Space-group type: Pmm2
N(E_F) in states/eV/f.u.: 2.17

***

Record 11
DFT (SCAN) results for a crystal of TlIrSeCl2 relaxed with PBEsol.

Unit cell a=4.9803 b=4.9803 c=4.6937 alpha=90.00 beta=90.00 gamma=90.00
Atoms (fractional coordinates):
Tl1 0.0000 0.0000 0.0000
Ir1 0.5000 0.5000 0.5000
Se1 0.5000 0.5000 0.0000
Cl1 0.0000 0.5000 0.5000
Cl2 0.5000 0.0000 0.5000

## Properties
Total moment in μB/cell: 0.0
Energy relative to the elements, uncorrected in eV/atom: -0.2162
Space-group type: P4/mmm
N(E_F) in states/eV/f.u.: 2.25

***

Record 12
DFT (SCAN) results for a crystal of Si2IrCl relaxed with PBEsol.

Unit cell a=2.8828 b=3.0983 c=6.9683 alpha=90.00 beta=90.00 gamma=90.00
Atoms (fractional coordinates):
Si1 0.0000 0.0000 0.2116
Si2 0.0000 0.0000 0.7884
Ir1 0.5000 0.5000 0.0000
Cl1 0.5000 0.5000 0.5000

## Properties
Total moment in μB/cell: 0.0
Energy relative to the elements, uncorrected in eV/atom: 0.1021
Space-group type: Pmmm
N(E_F) in states/eV/f.u.: 1.67